The following is a SCAN calculation of a PBEsol-optimized structure of AuBr2O, from Alexandria.

Computed properties:
M_tot, Bohr magnetons per cell: 3.0
Crystal system: trigonal
Raw formation energy, meV per atom: 597
Space-group type: R-3m, No. 166
Electronic total energy, eV/atom: -27.9795
Volume, Å³ per cell: 91

Structure (POSCAR):
```
AuBr2O
1.0
-2.819 -0.773 -2.194
-3.219 -0.969 1.433
-4.206 6.948 -0.090
Br O Au
2 1 1
Direct
0.101 0.101 0.697
0.899 0.899 0.303
0.500 0.500 0.500
0.000 0.000 0.000
```